(1)
PBE-GGA MgInIr, relaxed; D(E_F) = 1.21 states/eV/f.u.; V = 21.47 Å³/atom; magnetization = 0.000 μB per formula unit; raw total energy = -27.10 eV per cell
1.0
-2.272 2.272 6.239
2.272 -2.272 6.239
2.272 2.272 -6.239
Mg In Ir
2 2 2
Cartesian
2.272 0.000 3.119 Mg
0.000 2.272 3.119 Mg
2.272 0.000 0.000 In
0.000 2.272 0.000 In
0.000 0.000 1.496 Ir
0.000 0.000 10.981 Ir

(2)
PBE-GGA Mg8In2Ir, relaxed; D(E_F) = 3.99 states/eV/f.u.; V = 21.48 Å³/atom; magnetization = 0.000 μB per formula unit; raw total energy = -28.78 eV per cell
1.0
7.958 -2.364 0.000
7.958 2.364 0.000
-3.022 0.000 6.281
Mg In Ir
8 2 1
Cartesian
-0.794 0.000 1.721 Mg
0.724 0.000 4.281 Mg
3.908 0.000 3.900 Mg
5.562 0.000 0.653 Mg
7.333 0.000 5.628 Mg
8.986 0.000 2.381 Mg
12.170 0.000 2.000 Mg
13.689 0.000 4.560 Mg
2.356 0.000 1.132 In
10.538 0.000 5.149 In
6.447 0.000 3.141 Ir

(3)
PBE-GGA MgInIr2, relaxed; D(E_F) = 4.38 states/eV/f.u.; V = 18.21 Å³/atom; magnetization = 0.000 μB per formula unit; E above lowest polymorph = 629 meV per atom
1.0
-3.635 3.635 2.756
3.635 -3.635 2.756
3.635 3.635 -2.756
Mg In Ir
2 2 4
Cartesian
0.000 0.000 0.000 Mg
0.000 3.635 1.378 Mg
3.635 0.000 1.378 In
0.000 0.000 2.756 In
1.818 1.803 -0.689 Ir
1.832 -1.818 3.445 Ir
1.818 1.832 2.067 Ir
1.803 5.453 0.689 Ir

(4)
PBE-GGA MgInIr2, relaxed; D(E_F) = 1.92 states/eV/f.u.; V = 16.63 Å³/atom; magnetization = 0.000 μB per formula unit; E above lowest polymorph = 48 meV per atom
1.0
5.126 -1.475 0.000
5.126 1.475 0.000
-1.940 0.000 4.399
Mg In Ir
1 1 2
Cartesian
0.000 0.000 0.000 Mg
1.083 0.000 2.646 In
3.863 0.000 2.196 Ir
7.511 0.000 0.503 Ir

(5)
PBE-GGA MgInIr3, relaxed; D(E_F) = 4.23 states/eV/f.u.; V = 18.56 Å³/atom; magnetization = 0.000 μB per formula unit; E above lowest polymorph = 0 meV per atom
1.0
4.528 0.000 0.000
0.000 4.528 0.000
0.000 0.000 4.528
Mg In Ir
1 1 3
Cartesian
0.000 0.000 0.000 Mg
2.264 2.264 2.264 In
0.000 0.000 2.264 Ir
0.000 2.264 0.000 Ir
2.264 0.000 0.000 Ir

(6)
PBE-GGA MgIn4Ir, relaxed; D(E_F) = 5.21 states/eV/f.u.; V = 23.24 Å³/atom; magnetization = 0.000 μB per formula unit; E above lowest polymorph = 699 meV per atom
1.0
0.000 4.116 4.116
4.116 0.000 4.116
4.116 4.116 0.000
Mg In Ir
1 4 1
Cartesian
0.000 0.000 0.000 Mg
5.140 3.091 3.091 In
3.091 5.140 3.091 In
3.091 3.091 5.140 In
5.140 5.140 5.140 In
2.058 2.058 2.058 Ir

(7)
PBE-GGA MgInIr2, relaxed; D(E_F) = 2.83 states/eV/f.u.; V = 16.55 Å³/atom; magnetization = 0.000 μB per formula unit; E above lowest polymorph = 187 meV per atom
1.0
2.888 0.000 0.000
0.000 4.050 0.000
0.000 0.000 5.661
Mg In Ir
1 1 2
Cartesian
0.000 0.000 0.000 Mg
1.444 2.025 1.672 In
0.000 0.000 2.979 Ir
1.444 2.025 4.501 Ir

(8)
PBE-GGA MgInIr2, relaxed; D(E_F) = 5.18 states/eV/f.u.; V = 17.49 Å³/atom; magnetization = 0.002 μB per formula unit; E above lowest polymorph = 240 meV per atom
1.0
2.898 0.000 0.000
0.000 2.898 0.000
0.000 0.000 8.332
Mg In Ir
1 1 2
Cartesian
0.000 0.000 0.000 Mg
1.449 1.449 2.657 In
0.000 0.000 4.708 Ir
1.449 1.449 6.492 Ir

(9)
PBE-GGA Mg4InIr, relaxed; D(E_F) = 1.13 states/eV/f.u.; V = 19.14 Å³/atom; magnetization = 0.000 μB per formula unit; E above lowest polymorph = 357 meV per atom
1.0
0.000 3.858 3.858
3.858 0.000 3.858
3.858 3.858 0.000
Mg In Ir
4 1 1
Cartesian
2.898 2.898 2.898 Mg
4.818 4.818 2.898 Mg
4.818 2.898 4.818 Mg
2.898 4.818 4.818 Mg
0.000 0.000 0.000 In
5.787 5.787 5.787 Ir

(10)
PBE-GGA MgInIr2, relaxed; D(E_F) = 1.34 states/eV/f.u.; V = 16.67 Å³/atom; magnetization = 0.000 μB per formula unit; E above lowest polymorph = 303 meV per atom
1.0
1.513 -2.456 0.000
1.513 2.456 0.000
0.000 0.000 8.972
Mg In Ir
1 1 2
Cartesian
0.000 0.000 0.000 Mg
0.000 0.000 4.486 In
1.513 0.000 2.177 Ir
1.513 0.000 6.795 Ir

(11)
PBE-GGA MgIn2Ir2, relaxed; D(E_F) = 1.53 states/eV/f.u.; V = 18.58 Å³/atom; magnetization = 0.000 μB per formula unit; raw total energy = -50.64 eV per cell
1.0
7.812 0.000 0.000
0.000 7.812 0.000
0.000 0.000 3.045
Mg In Ir
2 4 4
Cartesian
0.000 0.000 0.000 Mg
3.906 3.906 0.000 Mg
1.073 2.833 0.000 In
2.833 6.739 0.000 In
4.979 1.073 0.000 In
6.739 4.979 0.000 In
1.260 5.166 1.522 Ir
2.646 1.260 1.522 Ir
5.166 6.552 1.522 Ir
6.552 2.646 1.522 Ir

(12)
PBE-GGA Mg12In6Ir, relaxed; D(E_F) = 5.47 states/eV/f.u.; V = 22.36 Å³/atom; magnetization = 0.000 μB per formula unit; raw total energy = -45.95 eV per cell
1.0
5.343 3.085 4.297
-5.343 3.085 4.297
0.000 -6.169 4.297
Mg In Ir
12 6 1
Cartesian
-1.411 -4.818 5.479 Mg
-4.878 -1.187 7.411 Mg
-1.161 -1.301 4.175 Mg
-3.467 3.631 5.479 Mg
-0.546 1.656 4.175 Mg
1.707 -0.356 4.175 Mg
-1.707 0.356 8.715 Mg
0.546 -1.656 8.715 Mg
3.467 -3.631 7.411 Mg
1.161 1.301 8.715 Mg
4.878 1.187 5.479 Mg
1.411 4.818 7.411 Mg
-2.895 0.652 5.884 In
-2.012 -2.182 7.006 In
0.883 -2.833 5.884 In
-0.883 2.833 7.006 In
2.012 2.182 5.884 In
2.895 -0.652 7.006 In
0.000 0.000 6.445 Ir

(13)
PBE-GGA MgInIr2, relaxed; D(E_F) = 1.41 states/eV/f.u.; V = 16.18 Å³/atom; magnetization = 0.000 μB per formula unit; E above lowest polymorph = 0 meV per atom
1.0
0.000 3.186 3.186
3.186 0.000 3.186
3.186 3.186 0.000
Mg In Ir
1 1 2
Cartesian
0.000 0.000 0.000 Mg
3.186 3.186 3.186 In
1.593 1.593 1.593 Ir
4.780 4.780 4.780 Ir